No. 1
VASP calculation (PBE-GGA) on crystalline Ir4Os3Ru at its relaxed geometry.

a b c (Å): 4.442 4.771 6.483
angles (deg): 110.81 110.03 90.00
Last column: magnetic moment on the atom in μB.
Sites, in units of the cell vectors:
Os1 0.500 0.500 0.000  0.25
Os2 0.363 0.790 0.727  0.04
Os3 0.637 0.210 0.273  0.04
Ir1 0.131 0.570 0.262  0.02
Ir2 0.869 0.430 0.738  0.02
Ir3 0.749 0.825 0.498  0.00
Ir4 0.251 0.175 0.502  0.00
Ru1 0.000 0.000 0.000  0.40

Summary:
crystal system = monoclinic
SG = C2/m, No. 12
formation energy from the elements = 381.2 meV/atom

No. 2
VASP calculation (PBE-GGA) on crystalline DyThSn at its relaxed geometry.

a b c (Å): 3.645 5.317 5.317
angles (deg): 120.00 90.00 90.00
Sites, in units of the cell vectors:
Sn1 0.054 0.000 0.000
Dy1 0.239 0.667 0.333
Th1 0.707 0.333 0.667

Summary:
relative energy among the computed polymorphs = 314 meV/atom
crystal system = trigonal
SG = P3m1, No. 156
formation energy from the elements = -193.9 meV/atom

No. 3
VASP calculation (PBE-GGA) on crystalline CaTb2YSb4 at its relaxed geometry.

a b c (Å): 6.257 6.257 7.670
angles (deg): 114.05 114.05 90.05
Sites, in units of the cell vectors:
Sb1 0.183 0.183 0.492
Sb2 0.937 0.437 0.000
Sb3 0.691 0.691 0.508
Sb4 0.437 0.937 0.000
Tb1 0.687 0.187 0.500
Tb2 0.187 0.687 0.500
Y1 0.937 0.937 0.000
Ca1 0.437 0.437 0.000

Summary:
formation energy (no corrections) = -1.04 eV/atom
crystal system = orthorhombic
SG = Fmmm, No. 69

No. 4
VASP calculation (PBE-GGA) on crystalline PrTlPb2O4 at its relaxed geometry.

a b c (Å): 4.097 4.097 9.532
angles (deg): 90.00 90.00 90.00
Sites, in units of the cell vectors:
O1 0.500 0.000 0.847
O2 0.000 0.500 0.153
O3 0.000 0.500 0.847
O4 0.500 0.000 0.153
Pr1 0.000 0.000 0.000
Pb1 0.500 0.500 0.739
Pb2 0.500 0.500 0.261
Tl1 0.000 0.000 0.500

Summary:
formation energy (no corrections) = -1.58 eV/atom
crystal system = tetragonal
SG = P4/mmm, No. 123

No. 5
VASP calculation (PBE-GGA) on crystalline BeGe2Pd6 at its relaxed geometry.

a b c (Å): 4.734 7.173 7.790
angles (deg): 90.00 90.35 90.00
Sites, in units of the cell vectors:
Ge1 0.433 0.127 0.251
Ge2 0.067 0.627 0.249
Ge3 0.567 0.873 0.749
Ge4 0.933 0.373 0.751
Pd1 0.917 0.973 0.218
Pd2 0.416 0.830 0.427
Pd3 0.915 0.682 0.558
Pd4 0.415 0.818 0.058
Pd5 0.585 0.182 0.942
Pd6 0.916 0.670 0.927
Pd7 0.417 0.527 0.718
Pd8 0.083 0.027 0.782
Pd9 0.084 0.330 0.073
Pd10 0.584 0.170 0.573
Pd11 0.085 0.318 0.442
Pd12 0.583 0.473 0.282
Be1 0.000 0.000 0.500
Be2 0.500 0.500 0.000

Summary:
crystal system = monoclinic
SG = P2_1/c, No. 14
formation energy from the elements = -435.0 meV/atom

No. 6
VASP calculation (PBE-GGA) on crystalline PuPaTl2 at its relaxed geometry.

a b c (Å): 3.273 3.273 9.798
angles (deg): 90.00 90.00 90.00
Last column: magnetic moment on the atom in μB.
Sites, in units of the cell vectors:
Tl1 0.000 0.000 0.250  0.02
Tl2 0.000 0.000 0.750  0.02
Pu1 0.500 0.500 0.000  -5.63
Pa1 0.500 0.500 0.500  1.02

Summary:
relative energy among the computed polymorphs = 8 meV/atom
crystal system = tetragonal
SG = P4/mmm, No. 123
formation energy from the elements = 87.0 meV/atom

No. 7
VASP calculation (PBE-GGA) on crystalline FeTc2PdN at its relaxed geometry.

a b c (Å): 4.029 4.029 3.876
angles (deg): 90.00 90.00 90.00
Last column: magnetic moment on the atom in μB.
Sites, in units of the cell vectors:
Fe1 0.000 0.000 0.500  2.00
Tc1 0.000 0.500 0.000  -0.17
Tc2 0.500 0.000 0.000  -0.17
N1 0.000 0.000 0.000  -0.01
Pd1 0.500 0.500 0.500  0.10

Summary:
formation energy (no corrections) = 0.03 eV/atom
crystal system = tetragonal
SG = P4/mmm, No. 123

No. 8
VASP calculation (PBE-GGA) on crystalline La5Cd2Sn at its relaxed geometry.

a b c (Å): 6.901 6.901 6.901
angles (deg): 106.73 106.73 115.10
Sites, in units of the cell vectors:
La1 0.278 0.778 0.000
La2 0.778 0.278 0.000
La3 0.778 0.778 0.500
La4 0.278 0.278 0.500
La5 0.277 0.277 0.000
Cd1 0.278 0.778 0.500
Cd2 0.778 0.278 0.500
Sn1 0.778 0.778 0.000

Summary:
crystal system = tetragonal
SG = I4mm, No. 107
formation energy from the elements = -336.9 meV/atom

No. 9
VASP calculation (PBE-GGA) on crystalline Nb2ReRu8 at its relaxed geometry.

a b c (Å): 8.092 4.783 8.384
angles (deg): 118.73 36.66 117.54
Sites, in units of the cell vectors:
Ru1 0.438 0.264 0.569
Ru2 0.099 0.662 0.104
Ru3 0.562 0.736 0.431
Ru4 0.428 0.245 0.900
Ru5 0.086 0.740 0.597
Ru6 0.901 0.338 0.896
Ru7 0.914 0.260 0.403
Ru8 0.572 0.755 0.100
Nb1 0.700 0.818 0.691
Nb2 0.300 0.182 0.309
Re1 0.000 0.000 0.000

Summary:
crystal system = triclinic
SG = P-1, No. 2
formation energy from the elements = 105.7 meV/atom

No. 10
VASP calculation (PBE-GGA) on crystalline Y3Pt8Au at its relaxed geometry.

a b c (Å): 5.413 5.413 9.381
angles (deg): 73.23 73.23 60.00
Sites, in units of the cell vectors:
Pt1 0.437 0.943 0.182
Pt2 0.937 0.937 0.689
Pt3 0.188 0.188 0.435
Pt4 0.937 0.436 0.689
Pt5 0.437 0.437 0.182
Pt6 0.943 0.437 0.182
Pt7 0.436 0.937 0.689
Pt8 0.688 0.688 0.936
Y1 0.378 0.378 0.867
Y2 0.989 0.989 0.034
Y3 0.508 0.508 0.475
Au1 0.870 0.870 0.389

Summary:
crystal system = trigonal
SG = R3m, No. 160
formation energy from the elements = -956.3 meV/atom

No. 11
VASP calculation (PBE-GGA) on crystalline BaNaCd5 at its relaxed geometry.

a b c (Å): 6.225 9.726 12.727
angles (deg): 90.00 90.00 90.00
Sites, in units of the cell vectors:
Cd1 0.750 0.401 0.977
Cd2 0.489 0.571 0.817
Cd3 0.989 0.429 0.183
Cd4 0.250 0.433 0.396
Cd5 0.750 0.067 0.896
Cd6 0.011 0.071 0.683
Cd7 0.250 0.182 0.244
Cd8 0.250 0.682 0.256
Cd9 0.989 0.929 0.317
Cd10 0.489 0.071 0.683
Cd11 0.250 0.599 0.023
Cd12 0.511 0.429 0.183
Cd13 0.750 0.318 0.744
Cd14 0.250 0.099 0.477
Cd15 0.250 0.933 0.104
Cd16 0.750 0.818 0.756
Cd17 0.750 0.567 0.604
Cd18 0.011 0.571 0.817
Cd19 0.511 0.929 0.317
Cd20 0.750 0.901 0.523
Ba1 0.750 0.755 0.061
Ba2 0.750 0.255 0.439
Ba3 0.250 0.745 0.561
Ba4 0.250 0.245 0.939
Na1 0.750 0.633 0.360
Na2 0.250 0.367 0.640
Na3 0.250 0.867 0.860
Na4 0.750 0.133 0.140

Summary:
crystal system = orthorhombic
SG = Pnma, No. 62
formation energy from the elements = -222.6 meV/atom

No. 12
VASP calculation (PBE-GGA) on crystalline Li4Zn5Pt at its relaxed geometry.

a b c (Å): 4.835 6.581 6.581
angles (deg): 82.24 68.45 68.45
Sites, in units of the cell vectors:
Pt1 0.188 0.000 0.000
Li1 0.726 0.714 0.714
Li2 0.439 0.286 0.714
Li3 0.439 0.714 0.286
Li4 0.153 0.286 0.286
Zn1 0.163 0.615 0.000
Zn2 0.163 0.000 0.615
Zn3 0.778 0.000 0.385
Zn4 0.778 0.385 0.000
Zn5 0.682 0.000 0.000

Summary:
crystal system = tetragonal
SG = I4mm, No. 107
formation energy from the elements = -177.9 meV/atom

No. 13
VASP calculation (PBE-GGA) on crystalline Ba2Tl5Rh4 at its relaxed geometry.

a b c (Å): 6.853 7.320 7.590
angles (deg): 73.69 63.16 62.09
Sites, in units of the cell vectors:
Ba1 0.736 0.185 0.344
Ba2 0.264 0.815 0.656
Tl1 0.321 0.773 0.137
Tl2 0.231 0.227 0.863
Tl3 0.679 0.227 0.863
Tl4 0.000 0.500 0.500
Tl5 0.769 0.773 0.137
Rh1 0.331 0.098 0.240
Rh2 0.795 0.510 0.900
Rh3 0.669 0.902 0.760
Rh4 0.205 0.490 0.100

Summary:
crystal system = monoclinic
SG = C2/m, No. 12
formation energy from the elements = -61.7 meV/atom

No. 14
VASP calculation (PBE-GGA) on crystalline VGa3S at its relaxed geometry.

a b c (Å): 4.960 4.960 4.960
angles (deg): 90.00 90.00 90.00
Last column: magnetic moment on the atom in μB.
Sites, in units of the cell vectors:
S1 0.500 0.500 0.500  0.31
Ga1 0.000 0.500 0.000  0.14
Ga2 0.500 0.000 0.000  0.14
Ga3 0.000 0.000 0.500  0.14
V1 0.000 0.000 0.000  2.65

Summary:
formation energy (no corrections) = 0.61 eV/atom
relative energy among the computed polymorphs = 0 meV/atom
crystal system = cubic
SG = Pm-3m, No. 221

No. 15
VASP calculation (PBE-GGA) on crystalline SrIn2Cu at its relaxed geometry.

a b c (Å): 3.693 3.692 7.597
angles (deg): 90.00 90.00 90.00
Sites, in units of the cell vectors:
In1 0.000 0.000 0.958
In2 0.500 0.500 0.210
Sr1 0.000 0.000 0.520
Cu1 0.500 0.500 0.812

Summary:
crystal system = tetragonal
SG = P4mm, No. 99
formation energy from the elements = -85.9 meV/atom

No. 16
VASP calculation (PBE-GGA) on crystalline Nd3SnP at its relaxed geometry.

a b c (Å): 4.344 8.773 15.442
angles (deg): 90.00 90.00 90.00
Last column: magnetic moment on the atom in μB.
Sites, in units of the cell vectors:
Nd1 0.750 0.522 0.892  0.10
Nd2 0.250 0.978 0.392  0.10
Nd3 0.250 0.845 0.982  0.04
Nd4 0.750 0.655 0.482  0.04
Nd5 0.250 0.683 0.715  0.07
Nd6 0.750 0.317 0.285  0.07
Nd7 0.750 0.155 0.018  0.04
Nd8 0.750 0.022 0.608  0.10
Nd9 0.250 0.345 0.518  0.04
Nd10 0.750 0.817 0.215  0.07
Nd11 0.250 0.478 0.108  0.10
Nd12 0.250 0.183 0.785  0.07
Sn1 0.250 0.096 0.179  -0.01
Sn2 0.750 0.904 0.821  -0.01
Sn3 0.750 0.404 0.679  -0.01
Sn4 0.250 0.596 0.321  -0.01
P1 0.250 0.826 0.555  -0.01
P2 0.750 0.174 0.445  -0.01
P3 0.750 0.674 0.055  -0.01
P4 0.250 0.326 0.945  -0.01

Summary:
crystal system = orthorhombic
SG = Pnma, No. 62
formation energy from the elements = -974.0 meV/atom

No. 17
VASP calculation (PBE-GGA) on crystalline MnFe3 at its relaxed geometry.

a b c (Å): 2.443 2.443 8.031
angles (deg): 90.00 90.00 109.83
Last column: magnetic moment on the atom in μB.
Sites, in units of the cell vectors:
Mn1 0.500 0.500 0.250  0.79
Fe1 0.000 0.000 0.002  2.20
Fe2 0.500 0.500 0.750  2.30
Fe3 0.000 0.000 0.498  2.20

Summary:
crystal system = orthorhombic
SG = Cmmm, No. 65
formation energy from the elements = 55.4 meV/atom

No. 18
VASP calculation (PBE-GGA) on crystalline PmPr4Th3S8 at its relaxed geometry.

a b c (Å): 8.117 8.163 8.116
angles (deg): 119.80 120.00 90.00
Sites, in units of the cell vectors:
Th1 0.500 0.500 0.500
Th2 0.000 0.500 0.500
Th3 0.500 0.500 0.000
S1 0.749 0.747 0.498
S2 0.752 0.255 0.504
S3 0.251 0.253 0.502
S4 0.752 0.255 0.003
S5 0.248 0.745 0.997
S6 0.248 0.745 0.496
S7 0.749 0.745 0.997
S8 0.251 0.255 0.003
Pr1 0.500 0.000 0.000
Pr2 0.000 0.000 0.000
Pr3 0.500 0.000 0.500
Pr4 0.000 0.000 0.500
Pm1 0.000 0.500 0.000

Summary:
formation energy (no corrections) = -1.95 eV/atom
crystal system = trigonal
SG = R-3m, No. 166

No. 19
VASP calculation (PBE-GGA) on crystalline CeZn2Ni4 at its relaxed geometry.

a b c (Å): 5.638 5.638 5.638
angles (deg): 101.77 101.77 126.29
Last column: magnetic moment on the atom in μB.
Sites, in units of the cell vectors:
Zn1 0.250 0.750 0.500  0.00
Zn2 0.750 0.250 0.500  0.00
Ni1 0.278 0.500 0.778  0.07
Ni2 0.500 0.722 0.222  0.07
Ni3 0.500 0.278 0.778  0.07
Ni4 0.722 0.500 0.222  0.07
Ce1 0.000 0.000 0.000  -0.69

Summary:
crystal system = tetragonal
SG = I4/mmm, No. 139
formation energy from the elements = 259.3 meV/atom

No. 20
VASP calculation (PBE-GGA) on crystalline YNbH2 at its relaxed geometry.

a b c (Å): 5.244 5.244 5.321
angles (deg): 60.48 60.48 90.00
Sites, in units of the cell vectors:
Y1 0.250 0.750 0.500
Y2 0.500 0.500 0.000
H1 0.375 0.330 0.750
H2 0.080 0.625 0.250
H3 0.670 0.125 0.250
H4 0.875 0.920 0.750
Nb1 0.000 0.000 0.000
Nb2 0.750 0.250 0.500

Summary:
relative energy among the computed polymorphs = 0 meV/atom
crystal system = tetragonal
SG = I-42d, No. 122

No. 21
VASP calculation (PBE-GGA) on crystalline Ba6MgCd at its relaxed geometry.

a b c (Å): 6.178 6.178 11.805
angles (deg): 74.83 74.83 90.00
Sites, in units of the cell vectors:
Ba1 0.093 0.593 0.814
Ba2 0.593 0.093 0.814
Ba3 0.407 0.907 0.186
Ba4 0.251 0.251 0.498
Ba5 0.749 0.749 0.502
Ba6 0.907 0.407 0.186
Mg1 0.500 0.500 0.000
Cd1 0.000 0.000 0.000

Summary:
crystal system = tetragonal
SG = I4/mmm, No. 139
formation energy from the elements = -84.3 meV/atom

No. 22
VASP calculation (PBE-GGA) on crystalline Pr5As4Br at its relaxed geometry.

a b c (Å): 6.081 7.479 7.479
angles (deg): 80.49 66.01 66.01
Sites, in units of the cell vectors:
As1 0.204 0.194 0.400
As2 0.398 0.400 0.806
As3 0.604 0.600 0.194
As4 0.798 0.806 0.600
Pr1 0.501 0.000 0.000
Pr2 0.107 0.578 0.209
Pr3 0.686 0.209 0.422
Pr4 0.316 0.791 0.578
Pr5 0.895 0.422 0.791
Br1 0.001 0.000 0.000

Summary:
formation energy (no corrections) = -1.51 eV/atom
crystal system = tetragonal
SG = I4/m, No. 87

DOS(E_F) values (in states/eV per atom) by entry order: 1.2296, 1.1932, 0.6069, 0.2742, 0.3509, 2.5210, 0.9921, 1.3576, 1.0749, 0.6050, 0.5138, 0.3943, 0.6689, 1.3453, 0.5497, 0.7479, 0.8734, 0.4320, 1.8078, 0.5065, 1.4238, 0.3348.